Entry from the Alexandria database: Re3Ru after structural relaxation (GGA-PBEsol).

POSCAR file:
```
Re3Ru
1.0
4.731 0.000 0.000
0.000 5.487 0.000
0.000 0.000 8.788
Re Ru
12 4
direct
0.253 0.876 0.995
0.253 0.876 0.505
0.247 0.376 0.005
0.086 0.122 0.750
0.586 0.378 0.750
0.753 0.624 0.505
0.414 0.622 0.250
0.247 0.376 0.495
0.747 0.124 0.005
0.914 0.878 0.250
0.747 0.124 0.495
0.753 0.624 0.995
0.086 0.624 0.750
0.414 0.124 0.250
0.586 0.876 0.750
0.914 0.376 0.250
```

Calculated values
The value obtained for the theoretical density is 19.2 g cm⁻³. The total energy comes out at -200.9 eV for the cell shown. For the total magnetization, the calculation gives 0.00 μB per formula unit. The calculation puts the formation enthalpy at 0 K at -1.1 kJ/mol of atoms.